Crystalline Ac4Te2PRu at its relaxed geometry, computed with GGA-PBE. Values from VASP.

Values from the calculation:
Raw total energy = -46.64 eV/cell
V = 273.6 Å³ per cell
Symmetry = P2/m
Uncorrected formation energy = -26.62 kcal/mol of atoms

Quantum ESPRESSO input file:
```
&SYSTEM
  ibrav = 0, nat = 8, ntyp = 4
/
ATOMIC_SPECIES
Ac 227.00 Ac.upf
Te 127.60 Te.upf
P 30.97 P.upf
Ru 101.07 Ru.upf
CELL_PARAMETERS angstrom
7.814 0.000 0.000
0.000 4.479 0.000
-2.497 0.000 7.818
ATOMIC_POSITIONS crystal
Ac 0.232 0.000 0.211
Ac 0.247 0.500 0.791
Ac 0.753 0.500 0.209
Ac 0.768 0.000 0.789
Te 0.000 0.000 0.500
Te 0.500 0.500 0.500
P 0.500 0.000 0.000
Ru 0.000 0.500 0.000
```

=====

Crystalline ThZr4Pt2 at its relaxed geometry, computed with GGA-PBE. Values from VASP.

Values from the calculation:
Raw total energy = -57.88 eV/cell
V = 162.5 Å³ per cell
Symmetry = Cmmm
DFT formation energy = -4.19 eV per formula unit

Quantum ESPRESSO input file:
```
&SYSTEM
  ibrav = 0, nat = 7, ntyp = 3
/
ATOMIC_SPECIES
Th 232.04 Th.upf
Zr 91.22 Zr.upf
Pt 195.08 Pt.upf
CELL_PARAMETERS angstrom
2.292 -7.741 0.000
2.292 7.741 0.000
0.000 0.000 4.580
ATOMIC_POSITIONS crystal
Th 0.000 0.000 0.000
Zr 0.182 0.818 0.500
Zr 0.318 0.682 0.000
Zr 0.682 0.318 0.000
Zr 0.818 0.182 0.500
Pt 0.416 0.584 0.500
Pt 0.584 0.416 0.500
```

=====

Crystalline DySc3Tl2 at its relaxed geometry, computed with GGA-PBE. Values from VASP.

Values from the calculation:
Energy relative to the lowest polymorph listed for this composition = 96.3 meV per atom
Raw total energy = -58.45 eV/cell
V = 306.0 Å³ per cell
Symmetry = C2/m
DFT formation energy = -0.89 eV per formula unit

Quantum ESPRESSO input file:
```
&SYSTEM
  ibrav = 0, nat = 12, ntyp = 3
/
ATOMIC_SPECIES
Dy 162.50 Dy.upf
Sc 44.96 Sc.upf
Tl 204.38 Tl.upf
CELL_PARAMETERS angstrom
7.805 -2.566 0.000
7.805 2.566 0.000
-4.391 0.000 7.640
ATOMIC_POSITIONS crystal
Dy 0.132 0.132 0.164
Dy 0.868 0.868 0.836
Sc 0.057 0.057 0.711
Sc 0.300 0.300 0.008
Sc 0.388 0.388 0.449
Sc 0.612 0.612 0.551
Sc 0.700 0.700 0.992
Sc 0.943 0.943 0.289
Tl 0.220 0.220 0.595
Tl 0.487 0.487 0.822
Tl 0.513 0.513 0.178
Tl 0.780 0.780 0.405
```

=====

Crystalline SmCd14Hg at its relaxed geometry, computed with GGA-PBE. Values from VASP.

Values from the calculation:
Raw total energy = -18.57 eV/cell
V = 376.4 Å³ per cell
Symmetry = P4/mmm
DFT formation energy = -0.74 eV per formula unit

Quantum ESPRESSO input file:
```
&SYSTEM
  ibrav = 0, nat = 16, ntyp = 3
/
ATOMIC_SPECIES
Sm 150.36 Sm.upf
Cd 112.41 Cd.upf
Hg 200.59 Hg.upf
CELL_PARAMETERS angstrom
6.644 0.000 0.000
0.000 6.644 0.000
0.000 0.000 8.525
ATOMIC_POSITIONS crystal
Sm 0.000 0.000 0.000
Cd 0.000 0.000 0.500
Cd 0.000 0.500 0.000
Cd 0.000 0.500 0.500
Cd 0.255 0.255 0.257
Cd 0.255 0.255 0.743
Cd 0.255 0.745 0.257
Cd 0.255 0.745 0.743
Cd 0.500 0.000 0.000
Cd 0.500 0.000 0.500
Cd 0.500 0.500 0.500
Cd 0.745 0.255 0.257
Cd 0.745 0.255 0.743
Cd 0.745 0.745 0.257
Cd 0.745 0.745 0.743
Hg 0.500 0.500 0.000
```

=====

Crystalline HoNpSe3 at its relaxed geometry, computed with GGA-PBE. Values from VASP.

Values from the calculation:
Energy relative to the lowest polymorph listed for this composition = 77.4 meV per atom
Raw total energy = -70.29 eV/cell
V = 299.7 Å³ per cell
Symmetry = P6_3mc
Uncorrected formation energy = -33.08 kcal/mol of atoms

Quantum ESPRESSO input file:
```
&SYSTEM
  ibrav = 0, nat = 10, ntyp = 3
/
ATOMIC_SPECIES
Ho 164.93 Ho.upf
Np 237.00 Np.upf
Se 78.96 Se.upf
CELL_PARAMETERS angstrom
4.131 0.000 0.000
-2.065 3.578 0.000
0.000 0.000 20.277
ATOMIC_POSITIONS crystal
Ho 0.333 0.667 0.000
Ho 0.667 0.333 0.500
Np 0.000 0.000 0.180
Np 0.000 0.000 0.680
Se 0.000 0.000 0.432
Se 0.000 0.000 0.932
Se 0.333 0.667 0.252
Se 0.333 0.667 0.591
Se 0.667 0.333 0.091
Se 0.667 0.333 0.752
```

=====

Crystalline YScPt at its relaxed geometry, computed with GGA-PBE. Values from VASP.

Values from the calculation:
Energy relative to the lowest polymorph listed for this composition = 0.0 meV per atom
Raw total energy = -65.26 eV/cell
V = 204.8 Å³ per cell
Symmetry = Amm2
DFT formation energy = -2.92 eV per formula unit

Quantum ESPRESSO input file:
```
&SYSTEM
  ibrav = 0, nat = 9, ntyp = 3
/
ATOMIC_SPECIES
Y 88.91 Y.upf
Sc 44.96 Sc.upf
Pt 195.08 Pt.upf
CELL_PARAMETERS angstrom
4.655 0.000 0.000
0.000 6.168 3.566
0.000 -6.168 3.566
ATOMIC_POSITIONS crystal
Y 0.000 0.000 0.000
Y 0.000 0.178 0.589
Y 0.000 0.589 0.178
Sc 0.500 0.333 0.333
Sc 0.500 0.589 0.845
Sc 0.500 0.845 0.589
Pt 0.000 0.589 0.589
Pt 0.500 0.255 0.922
Pt 0.500 0.922 0.255
```

=====

Crystalline KBe2Al at its relaxed geometry, computed with GGA-PBE. Values from VASP.

Values from the calculation:
Raw total energy = -8.21 eV/cell
V = 71.3 Å³ per cell
Symmetry = I-4m2
DFT formation energy = 4.08 eV per formula unit

Quantum ESPRESSO input file:
```
&SYSTEM
  ibrav = 0, nat = 4, ntyp = 3
/
ATOMIC_SPECIES
K 39.10 K.upf
Be 9.01 Be.upf
Al 26.98 Al.upf
CELL_PARAMETERS angstrom
-2.322 2.322 3.306
2.322 -2.322 3.306
2.322 2.322 -3.306
ATOMIC_POSITIONS crystal
K 0.000 0.000 0.000
Be 0.500 0.500 0.000
Be 0.750 0.250 0.500
Al 0.250 0.750 0.500
```

=====

Crystalline Eu2LuIr at its relaxed geometry, computed with GGA-PBE. Values from VASP.

Values from the calculation:
Raw total energy = -33.75 eV/cell
V = 125.0 Å³ per cell
Symmetry = R-3m
DFT formation energy = 0.18 eV per formula unit

Quantum ESPRESSO input file:
```
&SYSTEM
  ibrav = 0, nat = 4, ntyp = 3
/
ATOMIC_SPECIES
Eu 151.96 Eu.upf
Lu 174.97 Lu.upf
Ir 192.22 Ir.upf
CELL_PARAMETERS angstrom
1.948 1.125 9.505
-1.948 1.125 9.505
0.000 -2.250 9.505
ATOMIC_POSITIONS crystal
Eu 0.227 0.227 0.227
Eu 0.773 0.773 0.773
Lu 0.000 0.000 0.000
Ir 0.500 0.500 0.500
```

=====

Crystalline BaHgCl3 at its relaxed geometry, computed with GGA-PBE. Values from VASP.

Values from the calculation:
Energy relative to the lowest polymorph listed for this composition = 0.0 meV per atom
Raw total energy = -14.12 eV/cell
V = 222.7 Å³ per cell
Symmetry = Pm-3m
Uncorrected formation energy = -29.32 kcal/mol of atoms

Quantum ESPRESSO input file:
```
&SYSTEM
  ibrav = 0, nat = 5, ntyp = 3
/
ATOMIC_SPECIES
Ba 137.33 Ba.upf
Hg 200.59 Hg.upf
Cl 35.45 Cl.upf
CELL_PARAMETERS angstrom
6.062 0.000 0.000
0.000 6.062 0.000
0.000 0.000 6.062
ATOMIC_POSITIONS crystal
Ba 0.000 0.000 0.000
Hg 0.500 0.500 0.500
Cl 0.000 0.000 0.500
Cl 0.000 0.500 0.000
Cl 0.500 0.000 0.000
```

=====

Crystalline Ba6CdP2Br3 at its relaxed geometry, computed with GGA-PBE. Values from VASP.

Values from the calculation:
Raw total energy = -43.93 eV/cell
V = 482.6 Å³ per cell
Symmetry = C2/m
Uncorrected formation energy = -30.06 kcal/mol of atoms

Quantum ESPRESSO input file:
```
&SYSTEM
  ibrav = 0, nat = 12, ntyp = 4
/
ATOMIC_SPECIES
Ba 137.33 Ba.upf
Cd 112.41 Cd.upf
P 30.97 P.upf
Br 79.90 Br.upf
CELL_PARAMETERS angstrom
10.637 -2.360 0.000
10.637 2.360 0.000
-2.369 0.000 9.613
ATOMIC_POSITIONS crystal
Ba 0.014 0.014 0.259
Ba 0.323 0.323 0.436
Ba 0.333 0.333 0.883
Ba 0.667 0.667 0.117
Ba 0.677 0.677 0.564
Ba 0.986 0.986 0.741
Cd 0.500 0.500 0.000
P 0.168 0.168 0.339
P 0.832 0.832 0.661
Br 0.168 0.168 0.831
Br 0.500 0.500 0.500
Br 0.832 0.832 0.169
```

=====

Crystalline Sm5Ho3Er4 at its relaxed geometry, computed with GGA-PBE. Values from VASP.

Values from the calculation:
Raw total energy = -52.77 eV/cell
V = 393.0 Å³ per cell
Symmetry = C2/m
DFT formation energy = 2.81 eV per formula unit

Quantum ESPRESSO input file:
```
&SYSTEM
  ibrav = 0, nat = 12, ntyp = 3
/
ATOMIC_SPECIES
Sm 150.36 Sm.upf
Ho 164.93 Ho.upf
Er 167.26 Er.upf
CELL_PARAMETERS angstrom
8.101 -2.934 0.000
8.101 2.934 0.000
-4.186 0.000 8.268
ATOMIC_POSITIONS crystal
Sm 0.000 0.000 0.000
Sm 0.326 0.326 0.614
Sm 0.423 0.423 0.299
Sm 0.577 0.577 0.701
Sm 0.674 0.674 0.386
Ho 0.208 0.208 0.228
Ho 0.500 0.500 0.000
Ho 0.792 0.792 0.772
Er 0.080 0.080 0.439
Er 0.215 0.215 0.878
Er 0.785 0.785 0.122
Er 0.920 0.920 0.561
```

=====

Crystalline Be2TlBr at its relaxed geometry, computed with GGA-PBE. Values from VASP.

Values from the calculation:
Energy relative to the lowest polymorph listed for this composition = 45.7 meV per atom
Raw total energy = -9.99 eV/cell
V = 90.8 Å³ per cell
Symmetry = Pm
Uncorrected formation energy = 8.65 kcal/mol of atoms

Quantum ESPRESSO input file:
```
&SYSTEM
  ibrav = 0, nat = 4, ntyp = 3
/
ATOMIC_SPECIES
Be 9.01 Be.upf
Tl 204.38 Tl.upf
Br 79.90 Br.upf
CELL_PARAMETERS angstrom
5.099 0.000 0.000
0.000 3.276 0.000
-0.174 0.000 5.433
ATOMIC_POSITIONS crystal
Be 0.000 0.000 0.000
Be 0.119 0.500 0.736
Tl 0.585 0.500 0.912
Br 0.125 0.000 0.396
```